Record 1
Below is a relaxed structure of Zr8HC3N4, with properties calculated at the PBE level.

abc: 6.590 6.601 6.591
angles: 119.95 120.00 90.00
Element x y z (fractional)
Zr (0.257, 0.756, 0.999)
Zr (0.257, 0.756, 0.514)
Zr (0.251, 0.254, 0.503)
Zr (0.742, 0.756, 0.999)
Zr (0.258, 0.244, 0.001)
Zr (0.749, 0.746, 0.497)
Zr (0.743, 0.244, 0.486)
Zr (0.743, 0.244, 0.001)
H (0.000, 0.500, 0.000)
C (0.500, 0.500, 0.000)
C (0.500, 0.500, 0.500)
C (0.000, 0.500, 0.500)
N (0.500, 0.000, 0.000)
N (0.500, 0.000, 0.500)
N (0.000, 0.000, 0.000)
N (0.000, 0.000, 0.500)

Computed properties:
Energy ... -152.47 eV for the cell shown

***

Record 2
Below is a relaxed structure of Zr8H3C3N, with properties calculated at the PBE level.

abc: 6.680 6.679 6.566
angles: 120.62 90.00 120.01
Element x y z (fractional)
Zr (0.255, 0.510, 0.265)
Zr (0.745, 0.490, 0.735)
Zr (0.756, 0.512, 0.267)
Zr (0.244, 0.488, 0.733)
Zr (0.756, 0.011, 0.267)
Zr (0.244, 0.989, 0.733)
Zr (0.255, 0.011, 0.267)
Zr (0.745, 0.989, 0.733)
H (0.000, 0.000, 0.000)
H (0.000, 0.500, 0.000)
H (0.500, 0.500, 0.000)
C (0.500, 0.000, 0.500)
C (0.500, 0.500, 0.500)
C (0.000, 0.500, 0.500)
N (0.000, 0.000, 0.500)

Computed properties:
Energy ... -125.83 eV for the cell shown

***

Record 3
Below is a relaxed structure of Zr4H2CN, with properties calculated at the PBE level.

abc: 3.327 5.621 5.744
angles: 70.19 90.00 90.00
Element x y z (fractional)
Zr (0.000, 0.736, 0.753)
Zr (0.000, 0.264, 0.247)
Zr (0.500, 0.733, 0.257)
Zr (0.500, 0.267, 0.743)
H (0.000, 0.000, 0.000)
H (0.500, 0.000, 0.500)
C (0.500, 0.500, 0.000)
N (0.000, 0.500, 0.500)

Computed properties:
Energy ... -65.42 eV for the cell shown

***

Record 4
Below is a relaxed structure of Zr6H3CN2, with properties calculated at the PBE level.

abc: 3.328 6.659 7.164
angles: 102.41 103.43 90.00
Element x y z (fractional)
Zr (0.333, 0.901, 0.665)
Zr (0.667, 0.570, 0.335)
Zr (0.667, 0.099, 0.335)
Zr (0.001, 0.238, 0.002)
Zr (0.999, 0.762, 0.998)
Zr (0.333, 0.430, 0.665)
H (0.500, 0.500, 0.000)
H (0.834, 0.171, 0.668)
H (0.166, 0.829, 0.332)
C (0.500, 0.000, 0.000)
N (0.833, 0.666, 0.666)
N (0.167, 0.334, 0.334)

Computed properties:
Energy ... -98.44 eV for the cell shown

***

Record 5
Below is a relaxed structure of Zr6H2C3N, with properties calculated at the PBE level.

abc: 5.759 5.759 5.719
angles: 99.73 99.73 120.00
Element x y z (fractional)
Zr (0.912, 0.592, 0.736)
Zr (0.766, 0.766, 0.256)
Zr (0.088, 0.408, 0.264)
Zr (0.592, 0.912, 0.736)
Zr (0.234, 0.234, 0.744)
Zr (0.408, 0.088, 0.264)
H (0.335, 0.665, 0.000)
H (0.665, 0.335, 0.000)
C (0.166, 0.834, 0.500)
C (0.834, 0.166, 0.500)
C (0.500, 0.500, 0.500)
N (0.000, 0.000, 0.000)

Computed properties:
Energy ... -104.87 eV for the cell shown

***

Record 6
Below is a relaxed structure of Zr6H2CN3, with properties calculated at the PBE level.

abc: 3.291 6.569 7.341
angles: 103.52 102.95 90.00
Element x y z (fractional)
Zr (0.333, 0.929, 0.667)
Zr (0.664, 0.592, 0.329)
Zr (0.667, 0.071, 0.333)
Zr (0.996, 0.246, 0.992)
Zr (0.004, 0.754, 0.008)
Zr (0.336, 0.408, 0.671)
H (0.832, 0.665, 0.664)
H (0.168, 0.335, 0.336)
C (0.500, 0.000, 0.000)
N (0.500, 0.500, 0.000)
N (0.835, 0.167, 0.670)
N (0.165, 0.833, 0.330)

Computed properties:
Energy ... -105.92 eV for the cell shown

***

Copy entry 3 word for word.
Below is a relaxed structure of Zr4H2CN, with properties calculated at the PBE level.

abc: 3.327 5.621 5.744
angles: 70.19 90.00 90.00
Element x y z (fractional)
Zr (0.000, 0.736, 0.753)
Zr (0.000, 0.264, 0.247)
Zr (0.500, 0.733, 0.257)
Zr (0.500, 0.267, 0.743)
H (0.000, 0.000, 0.000)
H (0.500, 0.000, 0.500)
C (0.500, 0.500, 0.000)
N (0.000, 0.500, 0.500)

Computed properties:
Energy ... -65.42 eV for the cell shown

***

The lowest energy belongs to which entry?
Zr8HC3N4

***

What is the formula in the fifth record?
Zr6H2C3N

***

Please write out number 4 again, unchanged.
Below is a relaxed structure of Zr6H3CN2, with properties calculated at the PBE level.

abc: 3.328 6.659 7.164
angles: 102.41 103.43 90.00
Element x y z (fractional)
Zr (0.333, 0.901, 0.665)
Zr (0.667, 0.570, 0.335)
Zr (0.667, 0.099, 0.335)
Zr (0.001, 0.238, 0.002)
Zr (0.999, 0.762, 0.998)
Zr (0.333, 0.430, 0.665)
H (0.500, 0.500, 0.000)
H (0.834, 0.171, 0.668)
H (0.166, 0.829, 0.332)
C (0.500, 0.000, 0.000)
N (0.833, 0.666, 0.666)
N (0.167, 0.334, 0.334)

Computed properties:
Energy ... -98.44 eV for the cell shown